Here is crystalline Na5Ni2P2C2O14 at its relaxed geometry from the Alexandria database. Energies are from PBE+U.

Geometry as extended XYZ:
```
50
Lattice="-5.604 -2.510 -2.508 2.699 -8.237 2.215 -4.652 1.187 9.209" Properties=species:S:1:pos:R:3 pbc="T T T"
O -5.125 -0.154 7.221
O -2.316 -2.061 6.121
O -0.361 -7.285 3.712
O 0.057 -2.767 1.555
O -2.902 -0.820 2.919
O -6.260 -2.370 3.202
O -5.007 -4.948 2.984
O -7.197 -2.276 5.204
O -0.197 -5.308 1.367
O -3.154 -6.565 3.730
O -3.576 -6.600 10.212
O -3.661 -6.224 1.253
O -1.539 -4.022 3.081
O -4.404 -2.996 5.187
O -7.361 -4.253 7.549
O -3.897 -3.337 7.664
O -2.551 -4.613 5.932
O -5.507 -5.850 8.305
O -2.700 -6.540 8.195
O -5.242 -7.500 2.796
O -3.982 -2.961 -1.296
O -1.298 -7.191 5.714
O -2.433 -9.407 1.695
O -4.858 -3.021 0.722
O -6.019 -5.538 5.836
O -2.051 -3.711 0.612
O -7.615 -6.794 7.362
O -4.656 -8.741 5.997
Na -3.547 -8.951 3.728
Na -1.052 -1.824 3.964
Na -4.060 -8.613 0.225
Na -3.498 -0.948 8.692
Na -6.252 -2.182 7.459
Na -4.011 -0.610 5.189
Na -3.718 -3.019 2.771
Na -6.506 -7.737 4.953
Na -3.840 -6.542 6.146
Na -1.306 -7.379 1.457
C -2.894 -7.211 9.301
C -6.959 -1.683 4.078
C -0.599 -7.878 4.838
C -4.664 -2.350 -0.384
P -3.278 -3.282 6.225
P -4.280 -6.279 2.692
P -6.637 -5.596 7.275
P -0.921 -3.965 1.641
Ni -3.747 -4.699 -0.082
Ni -1.472 -5.528 4.436
Ni -6.086 -4.033 4.481
Ni -3.811 -4.862 8.999
```

Results
**Total magnetization**: 2.926 μB/f.u.
**SG**: P2_1/m
**Total DFT energy (no corrections)**: -311.1 eV per cell